No. 1
BaAc2LaIr | PBE | relaxed

The total energy is -5.08 eV per atom. For the total magnetic moment, the calculation gives 0.0 Bohr magnetons per cell. As for the formation energy: -0.296 eV per atom.

Lattice parameters (Å, degrees): 6.064 6.064 5.763 90.00 90.00 90.00
Sites, in units of the cell vectors:
Ba 0.000 0.000 0.000
Ac 0.000 0.500 0.500
Ac 0.500 0.000 0.500
La 0.500 0.500 0.000
Ir 0.500 0.500 0.500

No. 2
Ac5Pm4Y4 | PBE | relaxed

The total energy is -4.98 eV per atom. For the total magnetic moment, the calculation gives 0.0 Bohr magnetons per cell. As for the formation energy: 0.048 eV per atom.

Lattice parameters (Å, degrees): 9.972 9.972 9.972 94.04 94.04 149.22
Sites, in units of the cell vectors:
Ac 0.000 0.000 0.000
Ac 0.302 0.539 0.841
Ac 0.461 0.302 0.762
Ac 0.539 0.698 0.238
Ac 0.698 0.461 0.159
Pm 0.074 0.388 0.462
Pm 0.388 0.926 0.313
Pm 0.612 0.074 0.687
Pm 0.926 0.612 0.538
Y 0.156 0.764 0.921
Y 0.236 0.156 0.392
Y 0.764 0.844 0.608
Y 0.844 0.236 0.079

No. 3
Ho6TlSn2 | PBE | relaxed

The total energy is -4.64 eV per atom. For the total magnetic moment, the calculation gives 4.2 Bohr magnetons per cell. As for the formation energy: -0.436 eV per atom.

Lattice parameters (Å, degrees): 8.286 8.286 4.372 90.00 90.00 120.00
Sites, in units of the cell vectors:
Ho 0.000 0.406 0.000
Ho 0.000 0.741 0.500
Ho 0.259 0.259 0.500
Ho 0.406 0.000 0.000
Ho 0.594 0.594 0.000
Ho 0.741 0.000 0.500
Tl 0.000 0.000 0.000
Sn 0.333 0.667 0.500
Sn 0.667 0.333 0.500

No. 4
TlCu4As3 | PBE | relaxed

The total energy is -4.03 eV per atom. For the total magnetic moment, the calculation gives 0.0 Bohr magnetons per cell. As for the formation energy: 0.056 eV per atom.

Lattice parameters (Å, degrees): 4.292 4.292 7.819 90.00 90.00 90.00
Sites, in units of the cell vectors:
Tl 0.000 0.000 0.000
Cu 0.000 0.500 0.326
Cu 0.000 0.500 0.674
Cu 0.500 0.000 0.326
Cu 0.500 0.000 0.674
As 0.000 0.000 0.500
As 0.500 0.500 0.169
As 0.500 0.500 0.831

No. 5
CaZn2Pt8 | PBE | relaxed

The total energy is -4.84 eV per atom. For the total magnetic moment, the calculation gives 0.0 Bohr magnetons per cell. As for the formation energy: -0.033 eV per atom.

Lattice parameters (Å, degrees): 5.236 5.236 8.622 90.00 90.00 90.00
Sites, in units of the cell vectors:
Ca 0.000 0.000 0.000
Zn 0.000 0.500 0.500
Zn 0.500 0.000 0.500
Pt 0.252 0.252 0.278
Pt 0.252 0.252 0.722
Pt 0.252 0.748 0.278
Pt 0.252 0.748 0.722
Pt 0.748 0.252 0.278
Pt 0.748 0.252 0.722
Pt 0.748 0.748 0.278
Pt 0.748 0.748 0.722

No. 6
MnBeRh2 | PBE | relaxed

The total energy is -7.13 eV per atom. For the total magnetic moment, the calculation gives 2.7 Bohr magnetons per cell. As for the formation energy: -0.231 eV per atom.

Lattice parameters (Å, degrees): 4.648 4.648 4.207 107.95 107.95 35.11
Sites, in units of the cell vectors:
Mn 0.000 0.000 0.000
Be 0.260 0.260 0.662
Rh 0.527 0.527 0.526
Rh 0.755 0.755 0.167

No. 7
Sr3Mg7Ga2 | PBE | relaxed

The total energy is -1.95 eV per atom. For the total magnetic moment, the calculation gives 0.0 Bohr magnetons per cell. As for the formation energy: -0.093 eV per atom.

Lattice parameters (Å, degrees): 15.129 15.129 4.769 90.00 90.00 161.37
Sites, in units of the cell vectors:
Sr 0.000 0.000 0.000
Sr 0.175 0.825 0.000
Sr 0.825 0.175 0.000
Mg 0.084 0.916 0.500
Mg 0.277 0.723 0.500
Mg 0.416 0.584 0.000
Mg 0.500 0.500 0.500
Mg 0.584 0.416 0.000
Mg 0.723 0.277 0.500
Mg 0.916 0.084 0.500
Ga 0.368 0.632 0.500
Ga 0.632 0.368 0.500

No. 8
La3Pm6SmEr2 | PBE | relaxed

The total energy is -4.74 eV per atom. For the total magnetic moment, the calculation gives 0.0 Bohr magnetons per cell. As for the formation energy: 0.021 eV per atom.

Lattice parameters (Å, degrees): 6.324 6.324 12.112 95.02 95.02 120.04
Sites, in units of the cell vectors:
La 0.000 0.000 0.000
La 0.333 0.667 0.000
La 0.667 0.333 0.000
Pm 0.084 0.419 0.256
Pm 0.247 0.247 0.744
Pm 0.419 0.084 0.256
Pm 0.581 0.916 0.744
Pm 0.753 0.753 0.256
Pm 0.916 0.581 0.744
Sm 0.500 0.500 0.500
Er 0.167 0.833 0.500
Er 0.833 0.167 0.500

No. 9
Ba2Li3MgSb4 | PBE | relaxed

The calculation puts the formation energy from raw total energies at -815 meV per atom. The total energy is -3.58 eV per atom. For the total magnetic moment, the calculation gives 0.0 Bohr magnetons per cell.

Lattice parameters (Å, degrees): 4.814 4.814 11.841 90.00 90.00 90.00
Sites, in units of the cell vectors:
Ba 0.000 0.500 0.242
Ba 0.500 0.000 0.758
Li 0.000 0.500 0.872
Li 0.500 0.000 0.128
Li 0.500 0.500 0.500
Mg 0.000 0.000 0.500
Sb 0.000 0.000 0.000
Sb 0.000 0.500 0.639
Sb 0.500 0.000 0.361
Sb 0.500 0.500 0.000

No. 10
TbTl2Sn | PBE | relaxed

The total energy is -3.24 eV per atom. As for the offset from the most stable computed form: 0.416 eV per atom. For the total magnetic moment, the calculation gives 0.0 Bohr magnetons per cell. As for the formation energy: 0.102 eV per atom.

Lattice parameters (Å, degrees): 11.630 11.630 11.630 17.56 17.56 17.56
Sites, in units of the cell vectors:
Tb 0.000 0.000 0.000
Tl 0.091 0.091 0.091
Tl 0.909 0.909 0.909
Sn 0.500 0.500 0.500

No. 11
LaZn2Cu | PBE | relaxed

The total energy is -2.72 eV per atom. For the total magnetic moment, the calculation gives 0.0 Bohr magnetons per cell. As for the formation energy: 0.176 eV per atom.

Lattice parameters (Å, degrees): 6.078 6.078 3.054 101.29 101.29 125.05
Sites, in units of the cell vectors:
La 0.000 0.000 0.000
Zn 0.000 0.500 0.500
Zn 0.500 0.000 0.500
Cu 0.500 0.500 0.000

No. 12
DyCd2Hg2 | PBE | relaxed

The total energy is -1.67 eV per atom. For the total magnetic moment, the calculation gives 0.0 Bohr magnetons per cell. As for the formation energy: -0.259 eV per atom.

Lattice parameters (Å, degrees): 6.415 6.415 6.415 44.82 44.82 44.82
Sites, in units of the cell vectors:
Dy 0.000 0.000 0.000
Cd 0.202 0.202 0.202
Cd 0.798 0.798 0.798
Hg 0.406 0.406 0.406
Hg 0.594 0.594 0.594

No. 13
CsBePd2F | PBE | relaxed

The calculation puts the formation energy from raw total energies at -472 meV per atom. The total energy is -3.84 eV per atom. For the total magnetic moment, the calculation gives 0.0 Bohr magnetons per cell.

Lattice parameters (Å, degrees): 4.221 4.221 6.698 90.00 90.00 90.00
Sites, in units of the cell vectors:
Cs 0.000 0.000 0.000
Be 0.500 0.500 0.500
Pd 0.000 0.500 0.500
Pd 0.500 0.000 0.500
F 0.500 0.500 0.000

No. 14
TbPuClO4 | PBE | relaxed

The calculation puts the formation energy from raw total energies at -2521 meV per atom. The total energy is -8.33 eV per atom. For the total magnetic moment, the calculation gives 4.0 Bohr magnetons per cell.

Lattice parameters (Å, degrees): 6.919 6.919 6.630 107.58 107.58 60.43
Sites, in units of the cell vectors:
Tb 0.211 0.211 0.075
Tb 0.789 0.789 0.925
Pu 0.372 0.372 0.767
Pu 0.628 0.628 0.233
Cl 0.030 0.030 0.253
Cl 0.970 0.970 0.747
O 0.059 0.448 0.806
O 0.332 0.332 0.471
O 0.420 0.420 0.085
O 0.448 0.059 0.806
O 0.552 0.941 0.194
O 0.580 0.580 0.915
O 0.668 0.668 0.529
O 0.941 0.552 0.194

No. 15
CaPmGdAl | PBE | relaxed

The total energy is -6.21 eV per atom. For the total magnetic moment, the calculation gives 7.3 Bohr magnetons per cell. As for the formation energy: -0.071 eV per atom.

Lattice parameters (Å, degrees): 5.452 5.452 5.452 60.00 60.00 60.00
Sites, in units of the cell vectors:
Ca 0.000 0.000 0.000
Pm 0.750 0.750 0.750
Gd 0.250 0.250 0.250
Al 0.500 0.500 0.500

No. 16
Ni2HgIr | PBE | relaxed

The total energy is -4.73 eV per atom. For the total magnetic moment, the calculation gives 1.3 Bohr magnetons per cell. As for the formation energy: 0.453 eV per atom.

Lattice parameters (Å, degrees): 2.737 2.737 8.940 90.00 90.00 117.71
Sites, in units of the cell vectors:
Ni 0.000 0.000 0.000
Ni 0.500 0.500 0.216
Hg 0.000 0.000 0.478
Ir 0.500 0.500 0.768

No. 17
MnCd2In | PBE | relaxed

The total energy is -3.25 eV per atom. For the total magnetic moment, the calculation gives 3.5 Bohr magnetons per cell. As for the formation energy: 0.188 eV per atom.

Lattice parameters (Å, degrees): 6.752 6.752 6.752 154.10 138.73 49.37
Sites, in units of the cell vectors:
Mn 0.000 0.000 0.000
Cd 0.195 0.695 0.500
Cd 0.507 0.507 0.000
In 0.806 0.306 0.500

No. 18
HfBrO | PBE | relaxed

The calculation puts the formation energy from raw total energies at -1899 meV per atom. The total energy is -7.43 eV per atom. For the total magnetic moment, the calculation gives 0.0 Bohr magnetons per cell.

Lattice parameters (Å, degrees): 3.148 3.148 5.260 90.00 90.00 90.00
Sites, in units of the cell vectors:
Hf 0.000 0.000 0.000
Br 0.000 0.000 0.500
O 0.500 0.500 0.000

No. 19
Ti3NbIn2 | PBE | relaxed

The total energy is -6.70 eV per atom. As for the offset from the most stable computed form: 0.000 eV per atom. For the total magnetic moment, the calculation gives 0.0 Bohr magnetons per cell. As for the formation energy: -0.164 eV per atom.

Lattice parameters (Å, degrees): 7.512 7.512 6.553 90.00 90.00 142.84
Sites, in units of the cell vectors:
Ti 0.000 0.000 0.241
Ti 0.000 0.000 0.759
Ti 0.326 0.674 0.229
Ti 0.326 0.674 0.771
Ti 0.674 0.326 0.229
Ti 0.674 0.326 0.771
Nb 0.163 0.837 0.000
Nb 0.837 0.163 0.000
In 0.164 0.836 0.500
In 0.500 0.500 0.000
In 0.500 0.500 0.500
In 0.836 0.164 0.500

No. 20
SrCa2La | PBE | relaxed

The total energy is -2.59 eV per atom. As for the offset from the most stable computed form: 0.004 eV per atom. For the total magnetic moment, the calculation gives 0.0 Bohr magnetons per cell. As for the formation energy: 0.067 eV per atom.

Lattice parameters (Å, degrees): 13.194 13.194 13.194 17.04 17.04 17.04
Sites, in units of the cell vectors:
Sr 0.000 0.000 0.000
Ca 0.247 0.247 0.247
Ca 0.419 0.419 0.419
La 0.833 0.833 0.833